(1)
# CuPtSe PBE optimized geometry
# - formation energy (no corrections) (eV per atom) = 0.045
# - excess energy over the best structure of this formula in the dataset (eV/atom) = 0.0594
data_CuPtSe
_chemical_formula_sum 'Cu4 Pt4 Se4'
_space_group_name_H-M_alt 'F -4 3 m'
_space_group_IT_number 216
_space_group_name_Hall 'F -4 2 3'
_cell_length_a 6.005
_cell_length_b 6.005
_cell_length_c 6.005
_cell_angle_alpha 90.00
_cell_angle_beta 90.00
_cell_angle_gamma 90.00
loop_
_atom_site_label
_atom_site_fract_x
_atom_site_fract_y
_atom_site_fract_z
_atom_site_occupancy
Cu1 0.000 0.000 0.000 1
Pt1 0.250 0.250 0.750 1
Se1 0.000 0.000 0.500 1

(2)
# Tb6PSe5 PBE optimized geometry
# - formation energy (no corrections) (eV per atom) = -1.800
data_Tb6PSe5
_chemical_formula_sum 'Tb12 P2 Se10'
_space_group_name_H-M_alt 'C 1 2/m 1'
_space_group_IT_number 12
_cell_length_a 7.073
_cell_length_b 12.274
_cell_length_c 7.094
_cell_angle_alpha 90.00
_cell_angle_beta 109.32
_cell_angle_gamma 90.00
loop_
_space_group_symop_operation_xyz
'x,y,z'
'-x,-y,-z'
'-x,y,-z'
'x,-y,z'
'x+1/2,y+1/2,z'
'-x+1/2,-y+1/2,-z'
'-x+1/2,y+1/2,-z'
'x+1/2,-y+1/2,z'
loop_
_atom_site_label
_atom_site_fract_x
_atom_site_fract_y
_atom_site_fract_z
_atom_site_occupancy
Tb1 0.236 0.000 0.263 1
Tb2 0.236 0.157 0.736 1
P1 0.000 0.000 0.500 1
Se1 0.000 0.171 0.000 1
Se2 0.000 0.334 0.500 1
Se3 0.000 0.500 0.000 1

(3)
# La2YTi2 PBE optimized geometry
# - excess energy over the best structure of this formula in the dataset (eV/atom) = 0.0772
# - energy of formation (eV per atom) = 0.392
data_La2YTi2
_chemical_formula_sum 'La4 Y2 Ti4'
_space_group_name_H-M_alt 'P 4/m b m'
_space_group_IT_number 127
_space_group_name_Hall '-P 4 2ab'
_cell_length_a 8.995
_cell_length_b 8.995
_cell_length_c 3.304
_cell_angle_alpha 90.00
_cell_angle_beta 90.00
_cell_angle_gamma 90.00
loop_
_atom_site_label
_atom_site_fract_x
_atom_site_fract_y
_atom_site_fract_z
_atom_site_occupancy
La1 0.179 0.321 0.000 1
Y1 0.000 0.000 0.000 1
Ti1 0.115 0.615 0.500 1

(4)
Entry from Alexandria via LeMat-Bulk: a geometry-optimized H3Pd5 structure (PBE).

Structure (CIF):
```
data_H3Pd5
_chemical_formula_sum 'H12 Pd20'
_space_group_name_H-M_alt 'I 4/m c m'
_space_group_IT_number 140
_space_group_name_Hall '-I 4 2c'
_cell_length_a 8.400
_cell_length_b 8.400
_cell_length_c 5.328
_cell_angle_alpha 90.00
_cell_angle_beta 90.00
_cell_angle_gamma 90.00
loop_
_atom_site_label
_atom_site_fract_x
_atom_site_fract_y
_atom_site_fract_z
_atom_site_occupancy
H1 0.000 0.000 0.250 1
H2 0.115 0.385 0.000 1
Pd1 0.000 0.500 0.250 1
Pd2 0.050 0.216 0.500 1
```

(5)
# KCuCl2 PBE optimized geometry
# - formation energy (no corrections) (eV per atom) = -0.741
# - excess energy over the best structure of this formula in the dataset (eV/atom) = 0.4619
data_KCuCl2
_chemical_formula_sum 'K2 Cu2 Cl4'
_space_group_name_H-M_alt 'I -4 m 2'
_space_group_IT_number 119
_space_group_name_Hall 'I -4 -2'
_cell_length_a 3.953
_cell_length_b 3.953
_cell_length_c 14.129
_cell_angle_alpha 90.00
_cell_angle_beta 90.00
_cell_angle_gamma 90.00
loop_
_atom_site_label
_atom_site_fract_x
_atom_site_fract_y
_atom_site_fract_z
_atom_site_occupancy
K1 0.000 0.000 0.000 1
Cu1 0.000 0.500 0.250 1
Cl1 0.000 0.000 0.500 1
Cl2 0.000 0.500 0.750 1

(6)
# Nd3AsPbCl PBE optimized geometry
# - formation energy (no corrections) (eV per atom) = -1.099
data_Nd3AsPbCl
_chemical_formula_sum 'Nd6 As2 Pb2 Cl2'
_space_group_name_H-M_alt 'P 1 21/m 1'
_space_group_IT_number 11
_cell_length_a 7.973
_cell_length_b 4.601
_cell_length_c 10.169
_cell_angle_alpha 90.00
_cell_angle_beta 109.98
_cell_angle_gamma 90.00
loop_
_space_group_symop_operation_xyz
'x,y,z'
'-x,-y,-z'
'-x,y+1/2,-z'
'x,-y+1/2,z'
loop_
_atom_site_label
_atom_site_fract_x
_atom_site_fract_y
_atom_site_fract_z
_atom_site_occupancy
Nd1 0.032 0.250 0.342 1
Nd2 0.215 0.250 0.981 1
Nd3 0.435 0.750 0.632 1
As1 0.201 0.250 0.640 1
Pb1 0.240 0.750 0.225 1
Cl1 0.373 0.750 0.901 1

no.,density of states at the Fermi level (states/eV/cell),final energy (eV/f.u.)
1,9.56,-13.49
2,10.44,-72.21
3,15.11,-30.15
4,23.75,-34.51
5,1.21,-11.85
6,8.51,-31.10